An optimized crystal structure of NaDyZnAu. Source: Alexandria via LeMat-Bulk, functional PBE.

Properties
**D(E_F)**: 0.57 states/eV/atom
**Energy relative to the elements**: -0.33 eV/atom
**E_tot**: -2.948 eV/atom

Unit cell a=7.033 b=7.033 c=7.033 alpha=90.00 beta=90.00 gamma=90.00
Space group F-43m (No. 216)
Symmetry-distinct sites (fractional):
Na: 0.000 0.000 0.000 x4
Dy: 0.000 0.000 0.500 x4
Zn: 0.250 0.250 0.750 x4
Au: 0.250 0.250 0.250 x4

---

An optimized crystal structure of NdDy2Au. Source: Alexandria via LeMat-Bulk, functional PBE.

Properties
**D(E_F)**: 1.37 states/eV/atom
**Energy relative to the elements**: -0.41 eV/atom
**E_tot**: -4.720 eV/atom
**Energy above the lowest structure with this stoichiometry**: 19 meV per atom

Unit cell a=4.961 b=12.091 c=7.793 alpha=90.00 beta=90.00 gamma=90.00
Space group Cmcm (No. 63)
Symmetry-distinct sites (fractional):
Nd: 0.000 0.048 0.250 x4
Dy: 0.000 0.355 0.035 x8
Au: 0.000 0.204 0.750 x4

---

An optimized crystal structure of Nd2DyAu. Source: Alexandria via LeMat-Bulk, functional PBE.

Properties
**D(E_F)**: 1.52 states/eV/atom
**Energy relative to the elements**: -0.34 eV/atom
**E_tot**: -4.696 eV/atom
**Energy above the lowest structure with this stoichiometry**: 60 meV per atom

Unit cell a=3.737 b=3.737 c=8.534 alpha=90.00 beta=90.00 gamma=90.00
Space group P4/mmm (No. 123)
Symmetry-distinct sites (fractional):
Nd: 0.000 0.000 0.212 x2
Dy: 0.500 0.500 0.500 x1
Au: 0.500 0.500 0.000 x1

---

An optimized crystal structure of NdDy5Au4. Source: Alexandria via LeMat-Bulk, functional PBE.

Properties
**D(E_F)**: 0.74 states/eV/atom
**Energy relative to the elements**: -0.68 eV/atom
**E_tot**: -4.774 eV/atom

Unit cell a=3.579 b=3.579 c=19.772 alpha=90.00 beta=90.00 gamma=90.00
Space group P4/mmm (No. 123)
Symmetry-distinct sites (fractional):
Nd: 0.000 0.000 0.000 x1
Dy: 0.500 0.500 0.133 x2
Dy: 0.500 0.500 0.315 x2
Dy: 0.500 0.500 0.500 x1
Au: 0.000 0.000 0.221 x2
Au: 0.000 0.000 0.408 x2

---

An optimized crystal structure of NdDyAu4. Source: Alexandria via LeMat-Bulk, functional PBE.

Properties
**D(E_F)**: 0.28 states/eV/atom
**Energy relative to the elements**: -0.81 eV/atom
**E_tot**: -4.559 eV/atom
**Energy above the lowest structure with this stoichiometry**: 0 meV per atom

Unit cell a=3.804 b=3.804 c=9.195 alpha=90.00 beta=90.00 gamma=90.00
Space group P4/mmm (No. 123)
Symmetry-distinct sites (fractional):
Nd: 0.000 0.000 0.000 x1
Dy: 0.500 0.500 0.500 x1
Au: 0.000 0.000 0.340 x2
Au: 0.500 0.500 0.172 x2

---

An optimized crystal structure of NdDy2Au. Source: Alexandria via LeMat-Bulk, functional PBE.

Properties
**D(E_F)**: 1.22 states/eV/atom
**Energy relative to the elements**: -0.43 eV/atom
**E_tot**: -4.739 eV/atom
**Energy above the lowest structure with this stoichiometry**: 0 meV per atom

Unit cell a=7.005 b=10.021 c=6.682 alpha=90.00 beta=90.00 gamma=90.00
Space group Pnma (No. 62)
Symmetry-distinct sites (fractional):
Nd: 0.002 0.250 0.129 x4
Dy: 0.185 0.053 0.679 x8
Au: 0.106 0.750 0.429 x4

---

An optimized crystal structure of Nd2DyAu. Source: Alexandria via LeMat-Bulk, functional PBE.

Properties
**D(E_F)**: 1.19 states/eV/atom
**Energy relative to the elements**: -0.40 eV/atom
**E_tot**: -4.756 eV/atom
**Energy above the lowest structure with this stoichiometry**: 0 meV per atom

Unit cell a=3.798 b=12.361 c=10.121 alpha=90.00 beta=90.00 gamma=90.00
Space group Cmcm (No. 63)
Symmetry-distinct sites (fractional):
Nd: 0.000 0.133 0.052 x8
Dy: 0.000 0.435 0.250 x4
Au: 0.000 0.257 0.750 x4

---

An optimized crystal structure of NdDy4Au5. Source: Alexandria via LeMat-Bulk, functional PBE.

Properties
**D(E_F)**: 0.44 states/eV/atom
**Energy relative to the elements**: -0.85 eV/atom
**E_tot**: -4.801 eV/atom

Unit cell a=3.593 b=3.593 c=18.404 alpha=90.00 beta=90.00 gamma=90.00
Space group P4/mmm (No. 123)
Symmetry-distinct sites (fractional):
Nd: 0.000 0.000 0.000 x1
Dy: 0.000 0.000 0.204 x2
Dy: 0.000 0.000 0.401 x2
Au: 0.500 0.500 0.110 x2
Au: 0.500 0.500 0.303 x2
Au: 0.500 0.500 0.500 x1

---

An optimized crystal structure of NdDyAu. Source: Alexandria via LeMat-Bulk, functional PBE.

Properties
**D(E_F)**: 1.02 states/eV/atom
**Energy relative to the elements**: -0.60 eV/atom
**E_tot**: -4.814 eV/atom
**Energy above the lowest structure with this stoichiometry**: 0 meV per atom

Unit cell a=7.300 b=5.032 c=9.046 alpha=90.00 beta=90.00 gamma=90.00
Space group Pnma (No. 62)
Symmetry-distinct sites (fractional):
Nd: 0.011 0.250 0.177 x4
Dy: 0.149 0.250 0.582 x4
Au: 0.247 0.750 0.402 x4

---

An optimized crystal structure of Nd2DyAu3. Source: Alexandria via LeMat-Bulk, functional PBE.

Properties
**D(E_F)**: 0.70 states/eV/atom
**Energy relative to the elements**: -0.79 eV/atom
**E_tot**: -4.787 eV/atom

Unit cell a=5.194 b=15.718 c=3.660 alpha=90.00 beta=90.00 gamma=90.00
Space group Pmmn (No. 59, origin choice 2)
Symmetry-distinct sites (fractional):
Nd: 0.250 0.082 0.001 x4
Dy: 0.250 0.750 0.000 x2
Au: 0.250 0.250 0.499 x2
Au: 0.250 0.593 0.499 x4

---

An optimized crystal structure of NdDyAu. Source: Alexandria via LeMat-Bulk, functional PBE.

Properties
**D(E_F)**: 0.81 states/eV/atom
**Energy relative to the elements**: -0.40 eV/atom
**E_tot**: -4.611 eV/atom
**Energy above the lowest structure with this stoichiometry**: 203 meV per atom

Unit cell a=4.9365 b=4.9365 c=3.9714 alpha=90.00 beta=90.00 gamma=120.00
Space group P3m1 (No. 156)
Symmetry-distinct sites (fractional):
Nd: 0.0000 0.0000 0.0000 x1
Dy: 0.6667 0.3333 0.5312 x1
Au: 0.3333 0.6667 0.3343 x1

---

An optimized crystal structure of NdDy2Au. Source: Alexandria via LeMat-Bulk, functional PBE.

Properties
**D(E_F)**: 1.38 states/eV/atom
**Energy relative to the elements**: -0.28 eV/atom
**E_tot**: -4.596 eV/atom
**Energy above the lowest structure with this stoichiometry**: 143 meV per atom

Unit cell a=3.7301 b=3.7301 c=30.1235 alpha=90.00 beta=90.00 gamma=120.00
Space group R-3m (No. 166, hexagonal axes)
Symmetry-distinct sites (fractional):
Nd: 0.0000 0.0000 0.0000 x3
Dy: 0.0000 0.0000 0.2347 x6
Au: 0.0000 0.0000 0.5000 x3

---

> What is the D(E_F) in the third record?

1.52 states/eV/atom

---

> What is the formula in the second record?

NdDy2Au